Material: DyEr2SnC
Method: DFT, PBE
State: relaxed

Cell lengths 4.8897, 4.8383, 4.8383 Å; angles 90.00, 90.00, 90.00 degrees
With the nearest neighbours (Å) after each atom.
Sites, in units of the cell vectors:
Dy (0.5000, 0.0000, 0.0000)  2 C 2.44
Er (0.0000, 0.5000, 0.0000)  2 C 2.42
Er (0.0000, 0.0000, 0.5000)  2 C 2.42
Sn (0.5000, 0.5000, 0.5000)  4 Dy 3.42, 8 Er 3.44
C (0.0000, 0.0000, 0.0000)  4 Er 2.42, 2 Dy 2.44

Summary:
SG ... P4/mmm, No. 123
Density of states at the Fermi level ... 2.1 states/eV/cell
Final energy ... -6.037 eV/atom
Energy of formation ... -0.6462 eV per atom